Record 1
The following is a DFT calculation (PBE) of a geometry-optimized NaCuSeS structure.

```
NaCuSeS
1.0
-1.989 2.079 4.859
1.989 -2.079 4.859
1.989 2.079 -4.859
Na Cu Se S
1 1 1 1
Direct
0.000 0.000 0.000 Na
0.739 0.239 0.500 Cu
0.374 0.374 0.000 Se
0.622 0.622 0.000 S
```

Properties
SG: Imm2
V (Å³/cell): 80.37
E_tot (eV/atom): -3.68

---

Record 2
The following is a DFT calculation (PBE) of a geometry-optimized NaCu2SeS structure.

```
NaCu2SeS
1.0
6.760 0.000 0.000
0.000 3.875 0.000
-2.266 0.000 7.356
Na Cu Se S
2 4 2 2
Direct
0.069 0.250 0.241 Na
0.931 0.750 0.759 Na
0.495 0.250 0.120 Cu
0.496 0.250 0.626 Cu
0.504 0.750 0.374 Cu
0.505 0.750 0.880 Cu
0.262 0.750 0.563 Se
0.738 0.250 0.437 Se
0.290 0.750 0.072 S
0.710 0.250 0.928 S
```

Properties
SG: P2_1/m
V (Å³/cell): 192.72
E_tot (eV/atom): -3.90

---

Record 3
The following is a DFT calculation (PBE) of a geometry-optimized NaCuSe2S4 structure.

```
NaCuSe2S4
1.0
-3.207 3.207 4.231
3.207 -3.207 4.231
3.207 3.207 -4.231
Na Cu Se S
1 1 2 4
Direct
0.000 0.000 0.000 Na
0.500 0.500 0.000 Cu
0.250 0.750 0.500 Se
0.750 0.250 0.500 Se
0.142 0.573 0.000 S
0.427 0.427 0.569 S
0.573 0.142 0.000 S
0.858 0.858 0.431 S
```

Properties
SG: I-42m
V (Å³/cell): 174.05
E_tot (eV/atom): -3.74

---

Record 4
The following is a DFT calculation (PBE) of a geometry-optimized Na2CuSiS4 structure.

```
Na2CuSiS4
1.0
-3.590 3.590 3.076
3.590 -3.590 3.076
3.590 3.590 -3.076
Na Cu Si S
2 1 1 4
Direct
0.000 0.500 0.500 Na
0.500 0.000 0.500 Na
0.000 0.000 0.000 Cu
0.500 0.500 0.000 Si
0.115 0.115 0.676 S
0.439 0.439 0.324 S
0.561 0.885 0.000 S
0.885 0.561 0.000 S
```

Properties
SG: I-42m
V (Å³/cell): 158.60
E_tot (eV/atom): -4.29

---

> Which value of V does entry 2 give?

192.72 Å³/cell

---

Please write out number 2 again, unchanged.
The following is a DFT calculation (PBE) of a geometry-optimized NaCu2SeS structure.

```
NaCu2SeS
1.0
6.760 0.000 0.000
0.000 3.875 0.000
-2.266 0.000 7.356
Na Cu Se S
2 4 2 2
Direct
0.069 0.250 0.241 Na
0.931 0.750 0.759 Na
0.495 0.250 0.120 Cu
0.496 0.250 0.626 Cu
0.504 0.750 0.374 Cu
0.505 0.750 0.880 Cu
0.262 0.750 0.563 Se
0.738 0.250 0.437 Se
0.290 0.750 0.072 S
0.710 0.250 0.928 S
```

Properties
SG: P2_1/m
V (Å³/cell): 192.72
E_tot (eV/atom): -3.90